[1]
Density functional theory data (PBE-GGA) for crystalline TbNd2Au2 at its relaxed geometry.

abc: 3.9234 8.3440 8.3440
angles: 90.00 90.00 90.00
Closest atoms and distances in Å follow each position.
Sites, in units of the cell vectors:
Tb 0.5000 0.5000 0.0000  4 Au 3.27
Tb 0.5000 0.0000 0.5000  4 Au 3.27
Nd 0.0000 0.6659 0.3341  6 Au 3.11-3.17
Nd 0.0000 0.8341 0.8341  6 Au 3.11-3.17
Nd 0.0000 0.1659 0.1659  6 Au 3.11-3.17
Nd 0.0000 0.3341 0.6659  6 Au 3.11-3.17
Au 0.5000 0.3699 0.3699  1 Au 3.07, 6 Nd 3.11-3.17, 2 Tb 3.27
Au 0.5000 0.8699 0.1301  1 Au 3.07, 6 Nd 3.11-3.17, 2 Tb 3.27
Au 0.5000 0.1301 0.8699  1 Au 3.07, 6 Nd 3.11-3.17, 2 Tb 3.27
Au 0.5000 0.6301 0.6301  1 Au 3.07, 6 Nd 3.11-3.17, 2 Tb 3.27

**E above lowest polymorph**: 0.000 eV per atom
**Space group**: P4/mbm (127)
**Crystal system**: tetragonal
**Total moment**: 0.00 μB per cell
**E_form**: -0.647 eV/atom

[2]
Density functional theory data (PBE-GGA) for crystalline CaTaSb2 at its relaxed geometry.

abc: 5.4877 3.2076 5.8112
angles: 74.01 90.00 90.00
Closest atoms and distances in Å follow each position.
Sites, in units of the cell vectors:
Sb 0.0000 0.0850 0.9529  3 Ta 2.91-3.12, 2 Sb 3.21
Sb 0.5000 0.3992 0.3265  2 Ta 2.81, 3 Ca 3.00-3.04
Ca 0.5000 0.6684 0.7890  7 Sb 3.00-3.31, 2 Ca 3.21
Ta 0.0000 0.3474 0.4316  5 Sb 2.81-3.12

**E above lowest polymorph**: 0.246 eV per atom
**ΔE_f (raw)**: -0.0638 eV per atom
**Space group**: Amm2 (38)
**Crystal system**: orthorhombic
**Total moment**: 0.00 μB per cell